[1]
LiTaCd2: relaxed, GGA-PBE.

abc: 5.130 5.130 5.130
angles: 130.79 130.79 72.14
Fractional positions:
Cd (0.000, 0.000, 0.000)
Cd (0.250, 0.750, 0.500)
Li (0.500, 0.500, 0.000)
Ta (0.750, 0.250, 0.500)

Computed properties:
distance to the lowest polymorph of the same formula	0.4232	eV per atom
total energy	-0.250	Ry/atom
formation enthalpy at 0 K	493.0	meV/atom
density	9.1	g cm⁻³

[2]
LiTa2Cd: relaxed, GGA-PBE.

abc: 2.939 3.934 6.339
angles: 90.00 90.00 90.00
Fractional positions:
Cd (0.000, 0.000, 0.523)
Li (0.500, 0.500, 0.736)
Ta (0.000, 0.000, 0.010)
Ta (0.500, 0.500, 0.231)

Computed properties:
total energy	-0.469	Ry/atom
formation enthalpy at 0 K	255.0	meV/atom
density	10.9	g cm⁻³

[3]
LiTaCd: relaxed, GGA-PBE.

abc: 2.902 5.345 7.603
angles: 75.39 89.99 105.54
Fractional positions:
Cd (0.906, 0.587, 0.923)
Cd (0.974, 0.728, 0.295)
Ta (0.584, 0.941, 0.583)
Ta (0.296, 0.374, 0.635)
Li (0.254, 0.283, 0.247)
Li (0.625, 0.033, 0.971)

Computed properties:
distance to the lowest polymorph of the same formula	0.0400	eV per atom
total energy	-0.350	Ry/atom
formation enthalpy at 0 K	127.4	meV/atom
density	9.1	g cm⁻³

[4]
Li2TaCd: relaxed, GGA-PBE.

abc: 4.785 2.709 5.531
angles: 86.39 90.00 90.00
Fractional positions:
Cd (0.500, 0.750, 0.750)
Li (0.000, 0.886, 0.012)
Li (0.000, 0.614, 0.488)
Ta (0.500, 0.250, 0.250)

Computed properties:
total energy	-0.284	Ry/atom
formation enthalpy at 0 K	283.2	meV/atom
density	7.1	g cm⁻³

[5]
LiTaCd: relaxed, GGA-PBE.

abc: 7.673 5.477 4.960
angles: 90.00 90.00 90.00
Fractional positions:
Cd (0.000, 0.000, 0.000)
Cd (0.500, 0.500, 0.500)
Cd (0.500, 0.000, 0.500)
Cd (0.000, 0.500, 0.000)
Li (0.708, 0.250, 0.000)
Li (0.792, 0.750, 0.500)
Li (0.292, 0.750, 0.000)
Li (0.208, 0.250, 0.500)
Ta (0.377, 0.250, 0.000)
Ta (0.123, 0.750, 0.500)
Ta (0.623, 0.750, 0.000)
Ta (0.877, 0.250, 0.500)

Computed properties:
distance to the lowest polymorph of the same formula	0.5713	eV per atom
total energy	-0.311	Ry/atom
formation enthalpy at 0 K	658.8	meV/atom
density	9.6	g cm⁻³

[6]
LiTa2Cd: relaxed, GGA-PBE.

abc: 7.556 7.556 5.939
angles: 50.49 50.49 90.00
Fractional positions:
Cd (0.000, 0.000, 0.000)
Cd (0.750, 0.250, 0.500)
Li (0.500, 0.500, 0.000)
Li (0.250, 0.750, 0.500)
Ta (0.612, 0.125, 0.250)
Ta (0.138, 0.625, 0.250)
Ta (0.375, 0.388, 0.750)
Ta (0.875, 0.862, 0.750)

Computed properties:
total energy	-0.425	Ry/atom
formation enthalpy at 0 K	847.3	meV/atom
density	10.8	g cm⁻³

[7]
LiTa2Cd: relaxed, GGA-PBE.

abc: 3.137 4.470 5.114
angles: 90.00 90.00 90.00
Fractional positions:
Cd (0.500, 0.000, 0.500)
Li (0.000, 0.500, 0.500)
Ta (0.000, 0.000, 0.000)
Ta (0.500, 0.500, 0.000)

Computed properties:
total energy	-0.468	Ry/atom
formation enthalpy at 0 K	271.2	meV/atom
density	11.1	g cm⁻³

[8]
LiTa3Cd: relaxed, GGA-PBE.

abc: 4.468 4.468 4.468
angles: 90.00 90.00 90.00
Fractional positions:
Cd (0.500, 0.500, 0.500)
Li (0.000, 0.000, 0.000)
Ta (0.000, 0.500, 0.000)
Ta (0.000, 0.000, 0.500)
Ta (0.500, 0.000, 0.000)

Computed properties:
distance to the lowest polymorph of the same formula	0.0000	eV per atom
total energy	-0.483	Ry/atom
formation enthalpy at 0 K	1100.0	meV/atom
density	12.3	g cm⁻³

Which of these has the highest density?
LiTa3Cd

What did the third record say?
LiTaCd: relaxed, GGA-PBE.

abc: 2.902 5.345 7.603
angles: 75.39 89.99 105.54
Fractional positions:
Cd (0.906, 0.587, 0.923)
Cd (0.974, 0.728, 0.295)
Ta (0.584, 0.941, 0.583)
Ta (0.296, 0.374, 0.635)
Li (0.254, 0.283, 0.247)
Li (0.625, 0.033, 0.971)

Computed properties:
distance to the lowest polymorph of the same formula	0.0400	eV per atom
total energy	-0.350	Ry/atom
formation enthalpy at 0 K	127.4	meV/atom
density	9.1	g cm⁻³

What is the density in the sixth record?
10.8 g cm⁻³

Among the records above, which one has the lowest density?
Li2TaCd